Record 1
A plane-wave DFT calculation with PBE-GGA was carried out for a relaxed La2CePm2Nd crystal.

```
data_La2CePm2Nd
_cell_length_a 6.683
_cell_length_b 18.316
_cell_length_c 3.453
_cell_angle_alpha 90.00
_cell_angle_beta 90.00
_cell_angle_gamma 90.00
_space_group_name_H-M_alt 'P n n m'
_space_group_IT_number 58
_space_group_name_Hall '-P 2 2n'
loop_
_atom_site_label
_atom_site_type_symbol
_atom_site_fract_x
_atom_site_fract_y
_atom_site_fract_z
_atom_site_occupancy
La1 La 0.208 0.185 0.000 1
Ce1 Ce 0.000 0.500 0.000 1
Pm1 Pm 0.199 0.356 0.500 1
Nd1 Nd 0.000 0.000 0.000 1
```

Results
E_tot	-4.7530	eV per atom

---

Record 2
A plane-wave DFT calculation with PBE-GGA was carried out for a relaxed LaCePm2Nd6 crystal.

```
data_LaCePm2Nd6
_cell_length_a 11.500
_cell_length_b 6.979
_cell_length_c 9.055
_cell_angle_alpha 90.00
_cell_angle_beta 104.27
_cell_angle_gamma 90.00
_space_group_name_H-M_alt 'C 1 2/m 1'
_space_group_IT_number 12
_space_group_name_Hall '-C 2y'
loop_
_atom_site_label
_atom_site_type_symbol
_atom_site_fract_x
_atom_site_fract_y
_atom_site_fract_z
_atom_site_occupancy
La1 La 0.000 0.000 0.000 1
Ce1 Ce 0.000 0.500 0.500 1
Pm1 Pm 0.090 0.000 0.660 1
Nd1 Nd 0.127 0.500 0.916 1
Nd2 Nd 0.175 0.238 0.302 1
```

Results
E_tot	-4.6771	eV per atom

---

Record 3
A plane-wave DFT calculation with PBE-GGA was carried out for a relaxed La5CePmNd2 crystal.

```
data_La5CePmNd2
_cell_length_a 8.288
_cell_length_b 8.288
_cell_length_c 9.479
_cell_angle_alpha 90.00
_cell_angle_beta 90.00
_cell_angle_gamma 90.00
_space_group_name_H-M_alt 'P 4/m b m'
_space_group_IT_number 127
_space_group_name_Hall '-P 4 2ab'
loop_
_atom_site_label
_atom_site_type_symbol
_atom_site_fract_x
_atom_site_fract_y
_atom_site_fract_z
_atom_site_occupancy
La1 La 0.000 0.000 0.000 1
La2 La 0.195 0.305 0.277 1
Ce1 Ce 0.000 0.500 0.500 1
Pm1 Pm 0.000 0.000 0.500 1
Nd1 Nd 0.130 0.630 0.000 1
```

Results
E_tot	-4.7261	eV per atom

---

Quick rundown of size of the total moment, same order as above: 0.87 1.04 1.24 μB/f.u.